(1)
{
  "formula": "Ce6Si2N",
  "functional": "PBE",
  "state": "relaxed",
  "relative_energy_mev_per_atom": 249,
  "e_tot_ev_per_atom": -6.429,
  "e_form_raw_ev_per_atom": -0.343,
  "lattice_angstrom": [[-2.257, 3.287, 7.209], [2.257, -3.287, 7.209], [2.257, 3.287, -7.209]],
  "species": ["Ce", "Ce", "Ce", "Ce", "Ce", "Ce", "Si", "Si", "N"],
  "fractional_positions": [[0.064, 0.851, 0.213], [0.226, 0.500, 0.726], [0.362, 0.149, 0.213], [0.638, 0.851, 0.787], [0.774, 0.500, 0.274], [0.936, 0.149, 0.787], [0.334, 0.334, 0.000], [0.666, 0.666, 0.000], [0.000, 0.000, 0.000]]
}

---

(2)
{
  "formula": "Pa3CoGe2",
  "functional": "PBE",
  "state": "relaxed",
  "e_tot_ev_per_atom": -7.952,
  "formation_energy_kcal_per_mol_atoms": -11.089,
  "lattice_angstrom": [[11.884, 0.000, 0.000], [0.000, 3.884, 0.000], [0.000, 0.000, 10.899]],
  "species": ["Pa", "Pa", "Pa", "Pa", "Pa", "Pa", "Pa", "Pa", "Pa", "Pa", "Pa", "Pa", "Co", "Co", "Co", "Co", "Ge", "Ge", "Ge", "Ge", "Ge", "Ge", "Ge", "Ge"],
  "fractional_positions": [[0.051, 0.250, 0.112], [0.125, 0.750, 0.552], [0.235, 0.250, 0.764], [0.265, 0.750, 0.264], [0.375, 0.250, 0.052], [0.449, 0.750, 0.612], [0.551, 0.250, 0.388], [0.625, 0.750, 0.948], [0.735, 0.250, 0.736], [0.765, 0.750, 0.236], [0.875, 0.250, 0.448], [0.949, 0.750, 0.888], [0.127, 0.250, 0.367], [0.373, 0.750, 0.867], [0.627, 0.250, 0.133], [0.873, 0.750, 0.633], [0.011, 0.750, 0.305], [0.193, 0.750, 0.981], [0.307, 0.250, 0.481], [0.489, 0.250, 0.805], [0.511, 0.750, 0.195], [0.693, 0.750, 0.519], [0.807, 0.250, 0.019], [0.989, 0.250, 0.695]]
}

---

(3)
{
  "formula": "Mg2SiB",
  "functional": "PBE",
  "state": "relaxed",
  "relative_energy_mev_per_atom": 589,
  "e_tot_ev_per_atom": -3.236,
  "e_form_raw_ev_per_atom": 0.587,
  "lattice_angstrom": [[0.000, 3.138, 3.138], [3.138, 0.000, 3.138], [3.138, 3.138, 0.000]],
  "species": ["Mg", "Mg", "Si", "B"],
  "fractional_positions": [[0.250, 0.250, 0.250], [0.750, 0.750, 0.750], [0.000, 0.000, 0.000], [0.500, 0.500, 0.500]]
}